# LaTaMoOs | the Alexandria database | PBE | optimized geometry
# **Offset from the most stable computed form**: 99 meV per atom
# **Magnetization**: 0.0 μB per formula unit
# **DOS at the Fermi energy**: 0.996 states/eV per atom
# **Calculated formation energy**: 0.37 eV per atom
# **Calculated volume**: 82.6 Å³/cell
data_LaTaMoOs
_chemical_formula_sum 'La1 Ta1 Mo1 Os1'
_symmetry_space_group_name_H-M 'P 1 m 1'
_symmetry_Int_Tables_number 6
_cell_length_a 3.0043
_cell_length_b 4.2705
_cell_length_c 6.6092
_cell_angle_alpha 90.00
_cell_angle_beta 103.00
_cell_angle_gamma 90.00
loop_
_symmetry_equiv_pos_as_xyz
'x,y,z'
'x,-y,z'
loop_
_atom_site_label
_atom_site_type_symbol
_atom_site_fract_x
_atom_site_fract_y
_atom_site_fract_z
La1 La 0.0000 0.0000 0.0000
Ta1 Ta 0.7360 0.5000 0.3379
Mo1 Mo 0.4994 0.0000 0.5331
Os1 Os 0.2341 0.5000 0.6985